(1)
The following is a GGA-PBE calculation of crystalline La5Y6Sc2 at its relaxed geometry, from Alexandria.

The calculation puts the energy of formation from the pure elements at 0.13 eV per atom. The mass density is 5.04 Mg/m³. The total energy comes out at -5.719 eV/atom.

It has space group Pbam (No. 55), with a = 10.840 Å, b = 22.511 Å, c = 3.556 Å, α = 90.00°, β = 90.00° and γ = 90.00°. Symmetry generates all atoms from La at (0.000, 0.000, 0.000), La at (0.088, 0.252, 0.000), La at (0.168, 0.509, 0.000), Y at (0.037, 0.386, 0.500), Y at (0.137, 0.119, 0.500), Y at (0.164, 0.859, 0.000) and Sc at (0.162, 0.729, 0.500).



(2)
The following is a GGA-PBE calculation of crystalline La8Y3Sc at its relaxed geometry, from Alexandria.

The calculation puts the energy of formation from the pure elements at 0.51 eV per atom. The mass density is 5.18 Mg/m³. The total energy comes out at -4.921 eV/atom.

It has space group I-42m (No. 121), with a = 8.791 Å, b = 8.791 Å, c = 11.800 Å, α = 90.00°, β = 90.00° and γ = 90.00°. Symmetry generates all atoms from La at (0.125, 0.125, 0.244), La at (0.242, 0.242, 0.983), Y at (0.000, 0.000, 0.500), Y at (0.000, 0.500, 0.250) and Sc at (0.000, 0.000, 0.000).



(3)
The following is a GGA-PBE calculation of crystalline LaY9Sc2 at its relaxed geometry, from Alexandria.

The calculation puts the energy of formation from the pure elements at 0.05 eV per atom. The mass density is 4.54 Mg/m³. The total energy comes out at -6.265 eV/atom.

It has space group P4/mmm (No. 123), with a = 5.004 Å, b = 5.004 Å, c = 15.038 Å, α = 90.00°, β = 90.00° and γ = 90.00°. Symmetry generates all atoms from La at (0.000, 0.000, 0.000), Y at (0.000, 0.500, 0.175), Y at (0.000, 0.500, 0.500), Y at (0.500, 0.500, 0.000), Y at (0.500, 0.500, 0.339) and Sc at (0.000, 0.000, 0.337).



(4)
The following is a GGA-PBE calculation of crystalline La2Y7Sc2 at its relaxed geometry, from Alexandria.

The excess energy over the best structure of this formula in the dataset comes out at 6 meV/atom. The calculation puts the energy of formation from the pure elements at 0.11 eV per atom. The mass density is 4.60 Mg/m³. The total energy comes out at -6.046 eV/atom.

It has space group P-1 (No. 2), with a = 3.573 Å, b = 9.993 Å, c = 11.080 Å, α = 67.37°, β = 80.74° and γ = 79.79°. Symmetry generates all atoms from La at (0.005, 0.296, 0.198), Y at (0.161, 0.317, 0.864), Y at (0.328, 0.964, 0.878), Y at (0.335, 0.428, 0.403), Y at (0.500, 0.000, 0.500) and Sc at (0.179, 0.790, 0.352).



(5)
The following is a GGA-PBE calculation of crystalline LaY15Sc4 at its relaxed geometry, from Alexandria.

The calculation puts the energy of formation from the pure elements at 0.05 eV per atom. The mass density is 4.44 Mg/m³. The total energy comes out at -6.312 eV/atom.

It has space group P4/mmm (No. 123), with a = 4.978 Å, b = 4.978 Å, c = 24.917 Å, α = 90.00°, β = 90.00° and γ = 90.00°. Symmetry generates all atoms from La at (0.000, 0.000, 0.000), Y at (0.000, 0.500, 0.106), Y at (0.000, 0.500, 0.303), Y at (0.000, 0.500, 0.500), Y at (0.500, 0.500, 0.000), Y at (0.500, 0.500, 0.206), Y at (0.500, 0.500, 0.402), Sc at (0.000, 0.000, 0.204) and Sc at (0.000, 0.000, 0.402).



(6)
The following is a GGA-PBE calculation of crystalline La3Y4Sc2 at its relaxed geometry, from Alexandria.

The calculation puts the energy of formation from the pure elements at 0.12 eV per atom. The mass density is 4.93 Mg/m³. The total energy comes out at -5.805 eV/atom.

It has space group C2/c (No. 15), with a = 13.909 Å, b = 13.513 Å, c = 6.472 Å, α = 90.00°, β = 107.35° and γ = 90.00°. Symmetry generates all atoms from La at (0.000, 0.043, 0.250), La at (0.100, 0.429, 0.994), Y at (0.127, 0.295, 0.502), Y at (0.137, 0.181, 0.994) and Sc at (0.206, 0.048, 0.627).



(7)
The following is a GGA-PBE calculation of crystalline LaY8Sc2 at its relaxed geometry, from Alexandria.

The excess energy over the best structure of this formula in the dataset comes out at 45 meV/atom. The calculation puts the energy of formation from the pure elements at 0.18 eV per atom. The mass density is 4.46 Mg/m³. The total energy comes out at -6.125 eV/atom.

It has space group C2/m (No. 12), with a = 8.865 Å, b = 15.817 Å, c = 5.775 Å, α = 90.00°, β = 120.16° and γ = 90.00°. Symmetry generates all atoms from La at (0.000, 0.000, 0.000), Y at (0.000, 0.212, 0.000), Y at (0.079, 0.500, 0.790), Y at (0.216, 0.119, 0.662) and Sc at (0.000, 0.307, 0.500).



(8)
The following is a GGA-PBE calculation of crystalline LaY4Sc3 at its relaxed geometry, from Alexandria.

The calculation puts the energy of formation from the pure elements at 0.43 eV per atom. The mass density is 4.28 Mg/m³. The total energy comes out at -5.797 eV/atom.

It has space group Cmmm (No. 65), with a = 11.467 Å, b = 12.785 Å, c = 3.328 Å, α = 90.00°, β = 90.00° and γ = 90.00°. Symmetry generates all atoms from La at (0.000, 0.000, 0.000), Y at (0.000, 0.260, 0.000), Y at (0.239, 0.500, 0.500), Sc at (0.000, 0.500, 0.000) and Sc at (0.250, 0.250, 0.500).



(9)
The following is a GGA-PBE calculation of crystalline La8Y2Sc at its relaxed geometry, from Alexandria.

The calculation puts the energy of formation from the pure elements at 0.10 eV per atom. The mass density is 5.70 Mg/m³. The total energy comes out at -5.231 eV/atom.

It has space group Immm (No. 71), with a = 5.838 Å, b = 7.887 Å, c = 16.890 Å, α = 90.00°, β = 90.00° and γ = 90.00°. Symmetry generates all atoms from La at (0.000, 0.000, 0.171), La at (0.000, 0.205, 0.372), La at (0.000, 0.275, 0.000), Y at (0.000, 0.500, 0.200) and Sc at (0.000, 0.500, 0.500).



(10)
The following is a GGA-PBE calculation of crystalline LaY2Sc2 at its relaxed geometry, from Alexandria.

The excess energy over the best structure of this formula in the dataset comes out at 0 meV/atom. The calculation puts the energy of formation from the pure elements at 0.08 eV per atom. The mass density is 4.39 Mg/m³. The total energy comes out at -6.020 eV/atom.

It has space group P4/mbm (No. 127), with a = 9.254 Å, b = 9.254 Å, c = 3.593 Å, α = 90.00°, β = 90.00° and γ = 90.00°. Symmetry generates all atoms from La at (0.000, 0.000, 0.000), Y at (0.175, 0.325, 0.500) and Sc at (0.118, 0.618, 0.000).



(11)
The following is a GGA-PBE calculation of crystalline La2Y12Sc at its relaxed geometry, from Alexandria.

The calculation puts the energy of formation from the pure elements at 0.17 eV per atom. The mass density is 4.59 Mg/m³. The total energy comes out at -6.084 eV/atom.

It has space group Cmme (No. 67), with a = 7.107 Å, b = 11.404 Å, c = 24.795 Å, α = 90.00°, β = 90.00° and γ = 90.00°. Symmetry generates all atoms from La at (0.000, 0.250, 0.234), La at (0.000, 0.250, 0.766), Y at (0.000, 0.000, 0.428), Y at (0.000, 0.001, 0.062), Y at (0.249, 0.250, 0.915), Y at (0.250, 0.000, 0.174), Y at (0.250, 0.000, 0.305), Y at (0.250, 0.250, 0.380) and Sc at (0.000, 0.250, 0.500).



(12)
The following is a GGA-PBE calculation of crystalline La2Y7Sc2 at its relaxed geometry, from Alexandria.

The excess energy over the best structure of this formula in the dataset comes out at 0 meV/atom. The calculation puts the energy of formation from the pure elements at 0.11 eV per atom. The mass density is 4.63 Mg/m³. The total energy comes out at -6.052 eV/atom.

It has space group C2/m (No. 12), with a = 8.955 Å, b = 9.694 Å, c = 8.549 Å, α = 90.00°, β = 106.96° and γ = 90.00°. Symmetry generates all atoms from La at (0.000, 0.184, 0.000), Y at (0.000, 0.500, 0.500), Y at (0.160, 0.500, 0.922), Y at (0.206, 0.181, 0.676) and Sc at (0.121, 0.000, 0.334).



- What is the mass density in the fourth record?
  4.60 Mg/m³